Entry 1:
This record from the Alexandria database describes Sc2CdTe2 after structural relaxation. The functional is PBE.

a b c (Å): 8.0319 8.0319 3.8393
angles (deg): 90.00 90.00 90.00
Each line ends with the local moment (μB).
Positions (direct):
Sc (0.3565, 0.8565, 0.0000)  0.12
Sc (0.8565, 0.6435, 0.0000)  0.14
Sc (0.6435, 0.1435, 0.0000)  0.12
Sc (0.1435, 0.3565, 0.0000)  0.14
Te (0.1532, 0.6532, 0.5000)  -0.01
Te (0.6532, 0.8468, 0.5000)  -0.01
Te (0.8468, 0.3468, 0.5000)  -0.01
Te (0.3468, 0.1532, 0.5000)  -0.01
Cd (0.0000, 0.0000, 0.0000)  0.00
Cd (0.5000, 0.5000, 0.0000)  0.00

Summary:
Formation energy from raw total energies = -0.759 eV/atom
SG = P4/mbm
Calculated volume = 247.68 Å³/cell



Entry 2:
This record from the Alexandria database describes ScCd2Te2 after structural relaxation. The functional is PBE.

a b c (Å): 7.9983 7.9983 4.0766
angles (deg): 90.00 90.00 90.00
Positions (direct):
Sc (0.0000, 0.0000, 0.0000)
Sc (0.5000, 0.5000, 0.0000)
Te (0.1807, 0.6807, 0.5000)
Te (0.6807, 0.8193, 0.5000)
Te (0.8193, 0.3193, 0.5000)
Te (0.3193, 0.1807, 0.5000)
Cd (0.3726, 0.8726, 0.0000)
Cd (0.8726, 0.6274, 0.0000)
Cd (0.6274, 0.1274, 0.0000)
Cd (0.1274, 0.3726, 0.0000)

Summary:
Formation energy from raw total energies = -0.157 eV/atom
SG = P4/mbm
Calculated volume = 260.79 Å³/cell



Entry 3:
This record from the Alexandria database describes Sc2CdTe2 after structural relaxation. The functional is PBE.

a b c (Å): 8.2472 8.2472 3.6767
angles (deg): 90.00 90.00 90.00
Positions (direct):
Sc (0.1449, 0.6449, 0.5000)
Sc (0.6449, 0.8551, 0.5000)
Sc (0.8551, 0.3551, 0.5000)
Sc (0.3551, 0.1449, 0.5000)
Te (0.3527, 0.8527, 0.0000)
Te (0.8527, 0.6473, 0.0000)
Te (0.6473, 0.1473, 0.0000)
Te (0.1473, 0.3527, 0.0000)
Cd (0.0000, 0.0000, 0.0000)
Cd (0.5000, 0.5000, 0.0000)

Summary:
Formation energy from raw total energies = -0.661 eV/atom
SG = P4/mbm
Calculated volume = 250.07 Å³/cell



Entry 4:
This record from the Alexandria database describes ScCdTe after structural relaxation. The functional is PBE.

a b c (Å): 4.6423 4.6423 10.0691
angles (deg): 76.67 76.67 60.00
Positions (direct):
Sc (0.5617, 0.5617, 0.3149)
Sc (0.4383, 0.4383, 0.6851)
Te (0.2732, 0.2732, 0.1804)
Te (0.7268, 0.7268, 0.8196)
Cd (0.8290, 0.8290, 0.5129)
Cd (0.1710, 0.1710, 0.4871)

Summary:
Formation energy from raw total energies = -0.625 eV/atom
SG = R-3m
Calculated volume = 181.15 Å³/cell



Entry 5:
This record from the Alexandria database describes Sc2CdTe2 after structural relaxation. The functional is PBE.

a b c (Å): 4.9595 4.9595 7.2859
angles (deg): 70.10 70.10 90.00
Positions (direct):
Sc (0.7500, 0.2500, 0.5000)
Sc (0.2500, 0.7500, 0.5000)
Te (0.3602, 0.3602, 0.2796)
Te (0.6398, 0.6398, 0.7204)
Cd (0.0000, 0.0000, 0.0000)

Summary:
Formation energy from raw total energies = -0.632 eV/atom
SG = I4/mmm
Calculated volume = 157.09 Å³/cell



Entry 6:
This record from the Alexandria database describes Sc2Cd2Te after structural relaxation. The functional is PBE.

a b c (Å): 7.9204 7.9204 3.8627
angles (deg): 90.00 90.00 90.00
Positions (direct):
Sc (0.1679, 0.6679, 0.5000)
Sc (0.6679, 0.8321, 0.5000)
Sc (0.8321, 0.3321, 0.5000)
Sc (0.3321, 0.1679, 0.5000)
Te (0.0000, 0.0000, 0.0000)
Te (0.5000, 0.5000, 0.0000)
Cd (0.3717, 0.8717, 0.0000)
Cd (0.8717, 0.6283, 0.0000)
Cd (0.6283, 0.1283, 0.0000)
Cd (0.1283, 0.3717, 0.0000)

Summary:
Formation energy from raw total energies = -0.221 eV/atom
SG = P4/mbm
Calculated volume = 242.32 Å³/cell



Entry 7:
This record from the Alexandria database describes ScCd2Te2 after structural relaxation. The functional is PBE.

a b c (Å): 5.7320 5.7320 5.9441
angles (deg): 61.17 61.17 90.00
Each line ends with the local moment (μB).
Positions (direct):
Sc (0.0000, 0.0000, 0.0000)  0.45
Te (0.7500, 0.2500, 0.5000)  -0.01
Te (0.2500, 0.7500, 0.5000)  -0.01
Cd (0.3468, 0.3468, 0.3065)  0.02
Cd (0.6532, 0.6532, 0.6935)  0.02

Summary:
Formation energy from raw total energies = -0.120 eV/atom
SG = I4/mmm
Calculated volume = 142.86 Å³/cell



Entry 8:
This record from the Alexandria database describes ScCdTe3 after structural relaxation. The functional is PBE.

a b c (Å): 4.3822 6.3523 12.6343
angles (deg): 106.73 90.00 90.00
Positions (direct):
Sc (0.2500, 0.1654, 0.1584)
Sc (0.7500, 0.8346, 0.8416)
Cd (0.2500, 0.1217, 0.6207)
Cd (0.7500, 0.8783, 0.3793)
Te (0.2500, 0.1547, 0.9227)
Te (0.7500, 0.8453, 0.0773)
Te (0.2500, 0.1714, 0.3910)
Te (0.7500, 0.8286, 0.6090)
Te (0.2500, 0.5188, 0.7935)
Te (0.7500, 0.4812, 0.2065)

Summary:
Formation energy from raw total energies = -0.657 eV/atom
SG = P2_1/m
Calculated volume = 336.81 Å³/cell



Entry 9:
This record from the Alexandria database describes Sc2Cd2Te after structural relaxation. The functional is PBE.

a b c (Å): 7.4754 7.4754 4.5108
angles (deg): 90.00 90.00 90.00
Positions (direct):
Sc (0.3419, 0.8419, 0.0000)
Sc (0.8419, 0.6581, 0.0000)
Sc (0.6581, 0.1581, 0.0000)
Sc (0.1581, 0.3419, 0.0000)
Te (0.0000, 0.0000, 0.0000)
Te (0.5000, 0.5000, 0.0000)
Cd (0.1395, 0.6395, 0.5000)
Cd (0.6395, 0.8605, 0.5000)
Cd (0.8605, 0.3605, 0.5000)
Cd (0.3605, 0.1395, 0.5000)

Summary:
Formation energy from raw total energies = -0.391 eV/atom
SG = P4/mbm
Calculated volume = 252.07 Å³/cell



Entry 10:
This record from the Alexandria database describes ScCdTe3 after structural relaxation. The functional is PBE.

a b c (Å): 5.5615 5.5615 5.5615
angles (deg): 90.00 90.00 90.00
Positions (direct):
Sc (0.0000, 0.0000, 0.0000)
Te (0.0000, 0.5000, 0.0000)
Te (0.0000, 0.0000, 0.5000)
Te (0.5000, 0.0000, 0.0000)
Cd (0.5000, 0.5000, 0.5000)

Summary:
Formation energy from raw total energies = -0.190 eV/atom
SG = Pm-3m
Calculated volume = 172.02 Å³/cell



Entry 11:
This record from the Alexandria database describes ScCdTe after structural relaxation. The functional is PBE.

a b c (Å): 4.9426 4.9426 4.9426
angles (deg): 60.00 60.00 60.00
Each line ends with the local moment (μB).
Positions (direct):
Cd (0.5000, 0.5000, 0.5000)  0.04
Sc (0.2500, 0.2500, 0.2500)  0.42
Te (0.0000, 0.0000, 0.0000)  -0.01

Summary:
Formation energy from raw total energies = -0.328 eV/atom
SG = F-43m
Calculated volume = 85.38 Å³/cell



Entry 12:
This record from the Alexandria database describes Sc4CdTe after structural relaxation. The functional is PBE.

a b c (Å): 5.9215 5.9215 5.9215
angles (deg): 60.00 60.00 60.00
Positions (direct):
Sc (0.8765, 0.3745, 0.3745)
Sc (0.3745, 0.3745, 0.8765)
Sc (0.3745, 0.8765, 0.3745)
Sc (0.3745, 0.3745, 0.3745)
Cd (0.0000, 0.0000, 0.0000)
Te (0.7500, 0.7500, 0.7500)

Summary:
Formation energy from raw total energies = 0.063 eV/atom
SG = F-43m
Calculated volume = 146.82 Å³/cell



Entry 13:
This record from the Alexandria database describes ScCd2Te2 after structural relaxation. The functional is PBE.

a b c (Å): 7.8155 7.8155 4.4778
angles (deg): 90.00 90.00 90.00
Positions (direct):
Sc (0.0000, 0.0000, 0.0000)
Sc (0.5000, 0.5000, 0.0000)
Te (0.3246, 0.8246, 0.0000)
Te (0.8246, 0.6754, 0.0000)
Te (0.6754, 0.1754, 0.0000)
Te (0.1754, 0.3246, 0.0000)
Cd (0.1416, 0.6416, 0.5000)
Cd (0.6416, 0.8584, 0.5000)
Cd (0.8584, 0.3584, 0.5000)
Cd (0.3584, 0.1416, 0.5000)

Summary:
Formation energy from raw total energies = -0.319 eV/atom
SG = P4/mbm
Calculated volume = 273.51 Å³/cell



Entry 14:
This record from the Alexandria database describes ScCdTe after structural relaxation. The functional is PBE.

a b c (Å): 6.3041 6.3041 3.6765
angles (deg): 73.05 73.05 33.91
Positions (direct):
Cd (0.9884, 0.9884, 0.0116)
Sc (0.3171, 0.3171, 0.6829)
Te (0.6945, 0.6945, 0.3055)

Summary:
Formation energy from raw total energies = -0.482 eV/atom
SG = I4mm
Calculated volume = 77.63 Å³/cell



Entry 15:
This record from the Alexandria database describes Sc3Tl3CdTe8 after structural relaxation. The functional is PBE.

a b c (Å): 8.4070 8.4112 9.4917
angles (deg): 116.32 90.00 119.98
Positions (direct):
Sc (0.5000, 0.0000, 0.5000)
Sc (0.5000, 0.5000, 0.5000)
Sc (0.0000, 0.5000, 0.5000)
Tl (0.0000, 0.0000, 0.0000)
Tl (0.0000, 0.5000, 0.0000)
Tl (0.5000, 0.5000, 0.0000)
Cd (0.0000, 0.0000, 0.5000)
Te (0.2647, 0.5294, 0.2944)
Te (0.7353, 0.4706, 0.7056)
Te (0.7568, 0.5137, 0.2923)
Te (0.2432, 0.4863, 0.7077)
Te (0.7558, 0.0356, 0.2915)
Te (0.2442, 0.9644, 0.7085)
Te (0.2799, 0.0356, 0.2915)
Te (0.7201, 0.9644, 0.7085)

Summary:
Formation energy from raw total energies = -0.722 eV/atom
SG = C2/m
Calculated volume = 499.41 Å³/cell



Entry 16:
This record from the Alexandria database describes Sc2Tl3CdTe6 after structural relaxation. The functional is PBE.

a b c (Å): 7.5351 7.5351 8.2065
angles (deg): 98.71 98.71 120.12
Positions (direct):
Sc (0.3315, 0.6685, 0.0000)
Sc (0.6685, 0.3315, 0.0000)
Tl (0.1646, 0.8354, 0.5000)
Tl (0.8354, 0.1646, 0.5000)
Tl (0.5000, 0.5000, 0.5000)
Cd (0.0000, 0.0000, 0.0000)
Te (0.9296, 0.5858, 0.7904)
Te (0.7253, 0.7253, 0.2046)
Te (0.0704, 0.4142, 0.2096)
Te (0.5858, 0.9296, 0.7904)
Te (0.2747, 0.2747, 0.7954)
Te (0.4142, 0.0704, 0.2096)

Summary:
Formation energy from raw total energies = -0.683 eV/atom
SG = C2/m
Calculated volume = 384.02 Å³/cell



Entry 17:
This record from the Alexandria database describes Th3ScCd4 after structural relaxation. The functional is PBE.

a b c (Å): 3.3903 3.3903 18.2143
angles (deg): 90.00 90.00 90.00
Each line ends with the local moment (μB).
Positions (direct):
Sc (0.5000, 0.5000, 0.0000)  0.16
Th (0.5000, 0.5000, 0.2369)  0.00
Th (0.5000, 0.5000, 0.5000)  -0.01
Th (0.5000, 0.5000, 0.7631)  0.00
Cd (0.0000, 0.0000, 0.8943)  0.00
Cd (0.0000, 0.0000, 0.1057)  0.00
Cd (0.0000, 0.0000, 0.3690)  0.00
Cd (0.0000, 0.0000, 0.6310)  0.00

Summary:
Formation enthalpy at 0 K = -0.14 eV per atom
SG = P4/mmm
Calculated volume = 209.35 Å³/cell



Entry 18:
This record from the Alexandria database describes Th3ScCd7 after structural relaxation. The functional is PBE.

a b c (Å): 3.3410 11.2827 15.3133
angles (deg): 90.00 90.00 98.51
Positions (direct):
Th (0.1173, 0.2347, 0.4535)
Th (0.8827, 0.7653, 0.5465)
Th (0.2589, 0.5177, 0.7500)
Th (0.7411, 0.4823, 0.2500)
Th (0.1173, 0.2347, 0.0465)
Th (0.8827, 0.7653, 0.9535)
Sc (0.9707, 0.9414, 0.2500)
Sc (0.0293, 0.0586, 0.7500)
Cd (0.4085, 0.8170, 0.7500)
Cd (0.5915, 0.1830, 0.2500)
Cd (0.4914, 0.9828, 0.4093)
Cd (0.5086, 0.0172, 0.5907)
Cd (0.5086, 0.0172, 0.9093)
Cd (0.4914, 0.9828, 0.0907)
Cd (0.3717, 0.7435, 0.3424)
Cd (0.6283, 0.2565, 0.6576)
Cd (0.2639, 0.5278, 0.4288)
Cd (0.7361, 0.4722, 0.5712)
Cd (0.7361, 0.4722, 0.9288)
Cd (0.2639, 0.5278, 0.0712)
Cd (0.3717, 0.7435, 0.1576)
Cd (0.6283, 0.2565, 0.8424)

Summary:
Formation enthalpy at 0 K = -0.07 eV per atom
SG = Cmcm
Calculated volume = 570.88 Å³/cell



Entry 19:
This record from the Alexandria database describes Th2ScCd after structural relaxation. The functional is PBE.

a b c (Å): 3.6203 5.5952 5.5952
angles (deg): 90.00 90.00 90.00
Positions (direct):
Sc (0.5000, 0.5000, 0.5000)
Th (0.0000, 0.0000, 0.5000)
Th (0.0000, 0.5000, 0.0000)
Cd (0.5000, 0.0000, 0.0000)

Summary:
Formation enthalpy at 0 K = 0.01 eV per atom
SG = P4/mmm
Calculated volume = 113.34 Å³/cell



Entry 20:
This record from the Alexandria database describes Th2Sc6Cd after structural relaxation. The functional is PBE.

a b c (Å): 3.2088 9.1293 9.1293
angles (deg): 60.02 89.96 89.96
Positions (direct):
Th (0.9999, 0.3334, 0.3334)
Th (0.0000, 0.6667, 0.6667)
Sc (0.5000, 0.0001, 0.3280)
Sc (0.4992, 0.9999, 0.6720)
Sc (0.4992, 0.6720, 0.9999)
Sc (0.5009, 0.3279, 0.6721)
Sc (0.5009, 0.6721, 0.3279)
Sc (0.5000, 0.3280, 0.0001)
Cd (0.0001, 0.0001, 0.0001)

Summary:
Formation enthalpy at 0 K = 0.04 eV per atom
SG = P6/mmm
Calculated volume = 231.66 Å³/cell